Record 1
Entry from Alexandria: crystalline Ca2ZnO at its relaxed geometry (GGA-PBE).

Computed properties:
E   -3.117 eV per atom
E_form (uncorrected)   -559 meV per atom
SG   Fm-3m, No. 225
Magnetization   0.00 μB per cell
Theoretical density   3.24 g cm⁻³
Polymorph energy (0 for the lowest one)   812 meV per atom

Cell and atoms, written as POSCAR:
```
Ca2ZnO
1.0
0.5514 -0.2468 4.8562
-3.0456 -2.7446 2.6720
1.6094 -4.1304 2.0730
Ca O Zn
2 1 1
Cartesian
-0.2212 -1.7805 2.4003
-0.6635 -5.3414 7.2009
0.0000 0.0000 0.0000
-0.4423 -3.5610 4.8006
```

---

Record 2
Entry from Alexandria: crystalline Tb6Sn3Te at its relaxed geometry (GGA-PBE).

Computed properties:
E   -4.891 eV per atom
E_form (uncorrected)   -597 meV per atom
SG   Cmc2_1, No. 36
Magnetization   2.05 μB per cell
Theoretical density   7.40 g cm⁻³

Cell and atoms, written as POSCAR:
```
Tb6Sn3Te
1.0
7.5423 0.0000 0.0000
0.0000 9.3887 -0.1070
0.0000 -2.1994 9.1281
Sn Tb Te
6 12 2
Cartesian
3.6530 2.4945 0.6021
3.6530 7.1591 6.4552
6.4371 4.5509 3.7485
2.6659 2.6385 5.2726
7.4242 0.0303 2.5660
7.4242 4.6949 8.4191
1.1260 5.3955 5.7202
5.6864 -2.1959 9.1254
1.7880 -0.3294 4.9537
5.5592 4.9023 0.7843
1.7880 2.2871 8.2368
4.8971 1.7939 3.3009
4.8971 4.3720 6.5359
1.0122 6.4363 2.2460
1.1260 2.8174 2.4853
4.7834 0.7531 6.7752
1.9152 9.3853 -0.1042
5.5592 7.5188 4.0674
0.0178 -0.2382 7.5652
3.7890 7.4275 1.4560
```

---

Record 3
Entry from Alexandria: crystalline RbTaCd at its relaxed geometry (GGA-PBE).

Computed properties:
E   -4.066 eV per atom
SG   P-1, No. 2
Calculated formation energy   0.51 eV/atom
Magnetization   0.00 μB per cell
Theoretical density   5.42 g cm⁻³
Polymorph energy (0 for the lowest one)   121 meV per atom

Cell and atoms, written as POSCAR:
```
RbTaCd
1.0
4.6539 -0.0005 0.0002
0.1059 12.3868 0.0160
2.3260 0.0024 4.0303
Cd Rb Ta
2 2 2
Cartesian
1.2694 10.9219 2.0316
5.8165 1.4669 2.0148
3.5939 8.4480 0.6919
3.4920 3.9407 3.3546
3.4903 0.0124 0.6753
3.5955 12.3764 3.3711
```

---

Record 4
Entry from Alexandria: crystalline Be2P at its relaxed geometry (GGA-PBE).

Computed properties:
E   -4.153 eV per atom
SG   I4/mmm, No. 139
Calculated formation energy   0.13 eV/atom
Magnetization   0.00 μB per cell
Theoretical density   2.32 g cm⁻³
Polymorph energy (0 for the lowest one)   270 meV per atom

Cell and atoms, written as POSCAR:
```
Be2P
1.0
1.6264 -2.8376 -1.4542
2.4688 1.4104 2.1743
-2.9845 -0.9075 1.7553
Be P
2 1
Cartesian
0.3448 -2.2293 0.3306
0.7660 -0.1053 2.1448
0.0000 0.0000 0.0000
```

---

Record 5
Entry from Alexandria: crystalline Li3U3ZnN8 at its relaxed geometry (GGA-PBE).

Computed properties:
E   -7.882 eV per atom
E_form (uncorrected)   -717 meV per atom
SG   C2/m, No. 12
Magnetization   0.61 μB per cell
Theoretical density   7.54 g cm⁻³

Cell and atoms, written as POSCAR:
```
Li3U3ZnN8
1.0
-4.9439 -2.6960 3.3862
3.3123 -3.9316 -4.6697
2.7357 1.5720 5.2457
N U Li Zn
8 3 3 1
Cartesian
1.2362 -2.4060 -0.1108
2.4156 -1.6004 2.2526
1.4436 -4.5797 1.6577
-0.3395 -0.4759 2.3045
-2.8181 -1.8276 4.0021
3.9222 -3.2281 -0.0399
-0.1321 -2.6497 4.0729
-1.3115 -3.4552 1.7096
0.5521 -2.5278 1.9811
3.0240 -1.1798 0.2880
-1.1041 -0.5620 4.3159
0.0000 0.0000 0.0000
-0.8158 -3.3138 -0.6418
1.6562 -1.9658 -2.3349
1.3678 0.7860 2.6229
```

---

Record 6
Entry from Alexandria: crystalline La5In3 at its relaxed geometry (GGA-PBE).

Computed properties:
E   -4.465 eV per atom
SG   Cmmm, No. 65
Calculated formation energy   -0.36 eV/atom
Magnetization   0.00 μB per cell
Theoretical density   6.77 g cm⁻³

Cell and atoms, written as POSCAR:
```
La5In3
1.0
-1.2112 -1.8221 4.7046
3.3082 -6.0144 -1.4776
5.6599 3.1710 2.6853
In La
3 5
Cartesian
3.2499 -4.7878 1.8435
4.4840 -1.4217 0.6038
4.5070 0.1223 4.0688
2.8299 1.5855 1.3426
1.6541 -3.0072 -0.7388
5.9564 -2.9916 3.2359
1.8004 -1.6739 2.6763
0.0000 0.0000 0.0000
```

---

Record 7
Entry from Alexandria: crystalline Sm2TmCu2Ge2 at its relaxed geometry (GGA-PBE).

Computed properties:
E   -4.981 eV per atom
SG   R-3m, No. 166
Calculated formation energy   -0.50 eV/atom
Magnetization   0.00 μB per cell
Theoretical density   7.84 g cm⁻³

Cell and atoms, written as POSCAR:
```
Sm2TmCu2Ge2
1.0
-3.5547 -0.9087 2.0894
-0.6438 -3.9043 1.4728
3.0976 0.9610 9.9538
Cu Ge Sm Tm
2 2 2 1
Cartesian
-2.0603 -2.7872 3.8148
0.9594 -1.0647 9.7012
-0.5105 -2.7092 10.7515
-0.5904 -1.1428 2.7645
-2.5753 -3.8870 6.7264
1.4744 0.0350 6.7896
0.0000 0.0000 0.0000
```

---

Record 8
Entry from Alexandria: crystalline BeCrRh2 at its relaxed geometry (GGA-PBE).

Computed properties:
E   -7.146 eV per atom
SG   R-3m, No. 166
Calculated formation energy   -0.13 eV/atom
Magnetization   0.00 μB per cell
Theoretical density   9.03 g cm⁻³

Cell and atoms, written as POSCAR:
```
BeCrRh2
1.0
7.8688 -0.0381 -0.0224
7.4151 2.6338 -0.0224
7.4151 1.2593 2.3134
Rh Cr Be
2 1 1
Cartesian
11.4651 1.9472 1.1458
22.5833 3.8354 2.2570
17.0242 2.8913 1.7014
5.6747 0.9638 0.5671
```